--- 1 ---
Computed, not measured: a geometry-optimized LaMoBrO4 structure at the PBE+U level of DFT.

Unit cell a=6.6467 b=6.6467 c=7.2137 alpha=76.94 beta=76.94 gamma=70.06
Closest atoms and distances in Å follow each position.
Atoms (fractional coordinates):
La  0.7695  0.7695  0.1277  4 O 2.45-2.47
La  0.2305  0.2305  0.8723  4 O 2.45-2.47
Br  0.9837  0.9837  0.7555  2 La 3.03, 3 O 3.36-3.37
Br  0.0163  0.0163  0.2445  2 La 3.03, 3 O 3.36-3.37
Mo  0.6359  0.6359  0.7360  4 O 1.78-1.82
Mo  0.3641  0.3641  0.2640  4 O 1.78-1.82
O  0.5073  0.8749  0.8520  1 Mo 1.82
O  0.4927  0.1251  0.1480  1 Mo 1.82
O  0.2965  0.2965  0.5184  1 Mo 1.78
O  0.4661  0.4661  0.7898  1 Mo 1.78
O  0.1251  0.4927  0.1480  1 Mo 1.82
O  0.7035  0.7035  0.4816  1 Mo 1.78
O  0.5339  0.5339  0.2102  1 Mo 1.78
O  0.8749  0.5073  0.8520  1 Mo 1.82

--- 2 ---
Computed, not measured: a geometry-optimized LaMoBrO4 structure at the PBE+U level of DFT.

Unit cell a=6.0254 b=8.0266 c=10.0009 alpha=89.94 beta=90.00 gamma=90.00
Closest atoms and distances in Å follow each position.
Atoms (fractional coordinates):
O  0.7368  0.6583  0.2807  1 Mo 1.84
O  0.2366  0.4073  0.7333  1 Mo 1.84
O  0.2696  0.5974  0.2785  1 Mo 1.85
O  0.9910  0.1257  0.5371  1 Mo 1.77
O  0.4960  0.3776  0.4736  1 Mo 1.77
O  0.5692  0.6230  0.6623  1 Mo 1.82
O  0.7692  0.3466  0.7292  1 Mo 1.84
O  0.5040  0.8776  0.4736  1 Mo 1.77
O  0.2308  0.8466  0.7292  1 Mo 1.84
O  0.4308  0.1230  0.6623  1 Mo 1.82
O  0.0682  0.8732  0.3478  1 Mo 1.82
O  0.0090  0.6257  0.5371  1 Mo 1.77
O  0.2632  0.1583  0.2807  1 Mo 1.84
O  0.7304  0.0974  0.2785  1 Mo 1.85
O  0.7634  0.9073  0.7333  1 Mo 1.84
O  0.9318  0.3732  0.3478  1 Mo 1.82
La  0.5535  0.3742  0.2249  6 O 2.51-2.60
La  0.9471  0.6230  0.7858  6 O 2.51-2.59
La  0.4465  0.8742  0.2249  6 O 2.51-2.60
La  0.0529  0.1230  0.7858  6 O 2.51-2.59
Br  0.5070  0.6262  0.9846  3 La 3.14-3.31, 4 O 3.25-3.47
Br  0.4930  0.1262  0.9846  3 La 3.14-3.31, 4 O 3.25-3.47
Br  0.0065  0.8752  0.0260  3 La 3.13-3.31, 4 O 3.24-3.49
Br  0.9935  0.3752  0.0260  3 La 3.13-3.31, 4 O 3.24-3.49
Mo  0.5058  0.8440  0.6485  4 O 1.77-1.84
Mo  0.4942  0.3440  0.6485  4 O 1.77-1.84
Mo  0.0035  0.0939  0.3622  4 O 1.77-1.85
Mo  0.9965  0.5939  0.3622  4 O 1.77-1.85

Most stable: 1